Record 1
FeSO: relaxed, PBE with a Hubbard U.

a b c (Å): 5.276 5.147 6.050
angles (deg): 90.00 103.45 90.00
Space group P2_1/c (No. 14)
Symmetry-distinct sites (fractional):
Fe 0.232 0.003 0.254
S 0.322 0.590 0.173
O 0.154 0.105 0.811

The value obtained for the total energy is -62.814 eV per cell. The calculation puts the spin magnetization at 2.00 μB/f.u.



Record 2
Fe2S3O12: relaxed, PBE with a Hubbard U.

a b c (Å): 8.461 8.658 14.525
angles (deg): 90.00 125.05 90.00
Space group P2_1/c (No. 14)
Symmetry-distinct sites (fractional):
Fe 0.131 0.036 0.385
Fe 0.366 0.033 0.115
S 0.041 0.748 0.504
S 0.245 0.117 0.850
S 0.462 0.614 0.854
O 0.019 0.628 0.927
O 0.035 0.689 0.097
O 0.070 0.019 0.779
O 0.118 0.136 0.064
O 0.197 0.217 0.326
O 0.230 0.671 0.553
O 0.322 0.611 0.884
O 0.329 0.083 0.969
O 0.343 0.068 0.548
O 0.388 0.082 0.824
O 0.399 0.503 0.761
O 0.471 0.728 0.318

For the density of states at the Fermi level, the calculation gives 0.000 states/eV per atom. The calculation puts the spin magnetization at 10.11 μB/f.u. For the polymorph energy (0 for the lowest one), the calculation gives 5 meV/atom.



Record 3
Fe2S3O12: relaxed, PBE with a Hubbard U.

a b c (Å): 8.3824 8.3824 22.5516
angles (deg): 90.00 90.00 120.00
Space group R-3 (No. 148, hexagonal axes)
Symmetry-distinct sites (fractional):
Fe 0.0000 0.0000 0.1448
Fe 0.0000 0.0000 0.3504
S 0.0021 0.7119 0.7495
O 0.0136 0.2058 0.1942
O 0.0251 0.8229 0.0904
O 0.0751 0.8504 0.4011
O 0.0753 0.8520 0.7014

For the density of states at the Fermi level, the calculation gives 0.000 states/eV per atom. The calculation puts the spin magnetization at 10.03 μB/f.u. For the polymorph energy (0 for the lowest one), the calculation gives 0 meV/atom.



Record 4
FeS2O8: relaxed, PBE with a Hubbard U.

a b c (Å): 8.899 8.471 4.696
angles (deg): 90.00 95.93 90.00
Space group C2/m (No. 12)
Symmetry-distinct sites (fractional):
Fe 0.000 0.000 0.000
S 0.211 0.000 0.645
O 0.128 0.137 0.782
O 0.130 0.500 0.279
O 0.170 0.000 0.331

For the density of states at the Fermi level, the calculation gives 0.503 states/eV per atom. The calculation puts the spin magnetization at 3.91 μB/f.u. For the polymorph energy (0 for the lowest one), the calculation gives 50 meV/atom.



Record 5
SmFeS2O8: relaxed, PBE with a Hubbard U.

a b c (Å): 5.2266 5.2266 6.8943
angles (deg): 90.00 90.00 120.00
Space group P-3m1 (No. 164)
Symmetry-distinct sites (fractional):
Sm 0.0000 0.0000 0.0000
Fe 0.0000 0.0000 0.5000
S 0.3333 0.6667 0.2110
O 0.1761 0.3522 0.2788
O 0.3333 0.6667 0.9950

For the density of states at the Fermi level, the calculation gives 0.555 states/eV per atom. The value obtained for the total energy is -77.649 eV per cell. The calculation puts the spin magnetization at 3.62 μB/f.u.



Record 6
Sm2Fe2S2O5: relaxed, PBE with a Hubbard U.

a b c (Å): 5.557 5.557 12.401
angles (deg): 90.00 102.85 90.00
Space group C2/m (No. 12)
Symmetry-distinct sites (fractional):
Sm 0.152 0.000 0.306
Fe 0.075 0.500 0.150
S 0.234 0.500 0.468
O 0.000 0.500 0.000
O 0.145 0.250 0.790

For the density of states at the Fermi level, the calculation gives 0.153 states/eV per atom. The value obtained for the total energy is -148.017 eV per cell. The calculation puts the spin magnetization at 9.95 μB/f.u.



Record 7
SrFeS2O8: relaxed, PBE with a Hubbard U.

a b c (Å): 4.8770 4.8770 21.8404
angles (deg): 90.00 90.00 120.00
Space group R-3 (No. 148, hexagonal axes)
Symmetry-distinct sites (fractional):
Sr 0.0000 0.0000 0.0000
Fe 0.0000 0.0000 0.5000
S 0.0000 0.0000 0.2475
O 0.0000 0.0000 0.3160
O 0.0057 0.2939 0.2267

For the density of states at the Fermi level, the calculation gives 0.556 states/eV per atom. The value obtained for the total energy is -227.807 eV per cell. The calculation puts the spin magnetization at 4.00 μB/f.u.



Record 8
SrFe2S2O: relaxed, PBE with a Hubbard U.

a b c (Å): 9.819 6.487 3.956
angles (deg): 90.00 90.00 90.00
Space group Pmn2_1 (No. 31)
Symmetry-distinct sites (fractional):
Sr 0.000 0.028 0.000
Fe 0.169 0.638 0.486
S 0.198 0.261 0.495
O 0.000 0.793 0.505

For the density of states at the Fermi level, the calculation gives 0.000 states/eV per atom. The value obtained for the total energy is -68.453 eV per cell. The calculation puts the spin magnetization at 7.98 μB/f.u.